(1)
YRe3 | PBE | optimized geometry

Properties
relative energy among the computed polymorphs = 0.014 eV/atom
raw total energy = -10.674 eV per atom
ΔE_f = 0.278 eV/atom

a b c (Å): 4.173 5.564 6.761
angles (deg): 90.00 90.00 90.00
Space group Pmmn (No. 59, origin choice 2)
One atom of each set of equivalent atoms:
Y: 0.250 0.250 0.078 x2
Re: 0.250 0.515 0.633 x4
Re: 0.250 0.750 0.294 x2


(2)
Tb2HO | PBE | optimized geometry

Properties
relative energy among the computed polymorphs = 0.000 eV/atom
raw total energy = -5.947 eV per atom

a b c (Å): 3.4912 3.4912 17.0032
angles (deg): 90.00 90.00 120.00
Space group R-3m (No. 166, hexagonal axes)
One atom of each set of equivalent atoms:
Tb: 0.0000 0.0000 0.2461 x6
H: 0.0000 0.0000 0.0000 x3
O: 0.0000 0.0000 0.5000 x3


(3)
TbSmHgO | PBE | optimized geometry

Properties
formation energy without anion corrections = -1.655 eV per atom
raw total energy = -5.307 eV per atom

a b c (Å): 3.679 3.718 13.590
angles (deg): 90.00 90.00 90.00
Space group Imm2 (No. 44)
One atom of each set of equivalent atoms:
Tb: 0.000 0.000 0.000 x2
Sm: 0.000 0.000 0.694 x2
Hg: 0.000 0.000 0.347 x2
O: 0.000 0.500 0.593 x2